CeTa2CrO8 | PBE+U | optimized geometry

Cell: 6.8411 7.2499 6.3368 Å, 90.00 90.00 90.00°
Closest atoms and distances in Å follow each position.
Space group Cmmm (No. 65)
Inequivalent atoms, fractional coordinates:
Ce: 0.0000 0.0000 0.0000 x2  6 O 2.24-2.36
Ta: 0.0000 0.5000 0.2600 x4  6 O 1.98-2.08
Cr: 0.0000 0.0000 0.5000 x2  4 O 2.05
O: 0.0000 0.3194 0.5000 x4  2 Ta 2.01
O: 0.0000 0.3256 0.0000 x4  2 Ta 2.08
O: 0.2103 0.0000 0.2700 x8  1 Ta 1.98, 1 Cr 2.05

Output
electronic total energy: -9.15 eV/atom
total moment: 8.0 μB/cell